No. 1
Material: ZnGeN
Method: DFT, GGA-PBE
State: relaxed

Properties
calculated volume = 17.65 A^3/atom
uncorrected energy = -4.438 eV/atom
magnetization = 0.00 Bohr magnetons per cell
ΔE_f (raw) = 0.9 eV per formula unit

Lattice parameters (Å, degrees): 9.9425 2.9745 7.1600 90.00 90.00 90.00
Closest atoms and distances in Å follow each position.
Positions (direct):
Zn 0.1653 0.2500 0.1642  1 N 1.94
Zn 0.3347 0.7500 0.6642  1 N 1.94
Zn 0.6653 0.2500 0.3358  1 N 1.94
Zn 0.8347 0.7500 0.8358  1 N 1.94
Ge 0.1295 0.2500 0.8021  2 N 1.86
Ge 0.3705 0.7500 0.3021  2 N 1.86
Ge 0.6295 0.2500 0.6979  2 N 1.86
Ge 0.8705 0.7500 0.1979  2 N 1.86
N 0.0215 0.7500 0.7582  2 Ge 1.86, 1 Zn 1.94
N 0.4785 0.2500 0.2582  2 Ge 1.86, 1 Zn 1.94
N 0.5215 0.7500 0.7418  2 Ge 1.86, 1 Zn 1.94
N 0.9785 0.2500 0.2418  2 Ge 1.86, 1 Zn 1.94

***

No. 2
Material: ZnGeN3
Method: DFT, GGA-PBE
State: relaxed

Properties
calculated volume = 12.08 A^3/atom
uncorrected energy = -4.211 eV/atom
magnetization = 3.80 Bohr magnetons per cell
ΔE_f (raw) = 9.8 eV per formula unit

Lattice parameters (Å, degrees): 3.9234 3.9234 3.9234 90.00 90.00 90.00
Closest atoms and distances in Å follow each position.
Positions (direct):
Zn 0.0000 0.0000 0.0000  6 N 1.96
Ge 0.5000 0.5000 0.5000  12 N 2.77
N 0.0000 0.0000 0.5000  2 Zn 1.96
N 0.0000 0.5000 0.0000  2 Zn 1.96
N 0.5000 0.0000 0.0000  2 Zn 1.96

***

No. 3
Material: ZnGe3N
Method: DFT, GGA-PBE
State: relaxed

Properties
ΔE to the lowest computed polymorph = 0.000 eV/atom
calculated volume = 16.99 A^3/atom
uncorrected energy = -4.007 eV/atom
magnetization = 0.00 Bohr magnetons per cell
ΔE_f (raw) = 3.4 eV per formula unit

Lattice parameters (Å, degrees): 4.3962 4.3962 4.3962 90.00 90.00 90.00
Closest atoms and distances in Å follow each position.
Positions (direct):
Zn 0.0000 0.0000 0.0000  12 Ge 3.11
Ge 0.0000 0.5000 0.5000  2 N 2.20
Ge 0.5000 0.0000 0.5000  2 N 2.20
Ge 0.5000 0.5000 0.0000  2 N 2.20
N 0.5000 0.5000 0.5000  6 Ge 2.20